NaLi2HfRe | the Alexandria database | PBE-GGA | relaxed; total magnetic moment = 1.0 μB per cell; E = -3.741 eV/atom; DOS(E_F) = 4.3 states/eV per cell
1.0
4.660 0.000 0.000
0.000 5.026 0.000
0.000 0.000 4.660
Li Re Hf Na
2 1 1 1
Cartesian
0.000 0.000 2.330
2.330 0.000 0.000
0.000 0.000 0.000
2.330 2.513 2.330
0.000 2.513 0.000

***

NaLiHfRe2 | the Alexandria database | PBE-GGA | relaxed; total magnetic moment = 0.0 μB per cell; E = -6.158 eV/atom; DOS(E_F) = 5.0 states/eV per cell
1.0
-2.885 1.805 -2.608
-3.279 -2.835 1.666
-0.945 2.877 3.036
Re Na Hf Li
2 1 1 1
Cartesian
-1.443 0.902 -1.304
-0.473 1.438 1.518
-3.555 0.923 1.047
-1.640 -1.418 0.833
0.000 0.000 0.000

***

Na4LiHf3S8 | the Alexandria database | PBE-GGA | relaxed; total magnetic moment = 0.0 μB per cell; E = -5.850 eV/atom; energy relative to the elements, uncorrected = -1.471 eV per atom; DOS(E_F) = 4.1 states/eV per cell
1.0
7.450 0.000 0.000
0.000 7.910 0.316
-3.725 -3.720 5.273
Na S Hf Li
4 8 3 1
Cartesian
-1.863 -1.860 2.636
1.863 -1.860 2.636
3.725 0.000 0.000
0.000 0.000 0.000
0.000 0.278 2.828
-1.819 2.038 5.356
5.544 2.152 0.233
1.819 2.038 5.356
3.725 3.912 2.760
0.000 3.855 2.781
3.725 0.336 2.807
1.906 2.152 0.233
-1.863 2.095 2.794
1.863 2.095 2.794
3.725 3.955 0.158
0.000 3.955 0.158